(1)
Below is KZnPb2 after structural relaxation, with properties calculated at the PBE-GGA level.

Cell and atoms, written as POSCAR:
```
KZnPb2
1.0
-4.053 -2.686 -1.840
-1.132 -3.490 -3.683
0.816 -6.209 4.003
Pb Zn K
2 1 1
Direct
0.482 0.482 0.572
0.018 0.018 0.928
0.750 0.750 0.750
0.250 0.250 0.250
```

Computed properties:
calculated formation energy: 0.01 eV/atom
SG: No. 12
ΔE to the lowest computed polymorph: 41.2 meV per atom
uncorrected energy: -9.766 eV for the cell shown


(2)
Below is Ca6As3P after structural relaxation, with properties calculated at the PBE-GGA level.

Cell and atoms, written as POSCAR:
```
Ca6As3P
1.0
7.266 0.000 0.083
0.000 7.695 0.000
0.039 0.000 10.477
Ca As P
12 6 2
Direct
0.146 0.077 0.753
0.687 0.183 0.934
0.313 0.817 0.066
0.813 0.683 0.566
0.813 0.696 0.918
0.687 0.196 0.582
0.187 0.304 0.082
0.354 0.577 0.747
0.646 0.423 0.253
0.187 0.317 0.434
0.854 0.923 0.247
0.313 0.804 0.418
0.976 0.427 0.743
0.476 0.073 0.243
0.524 0.927 0.757
0.000 0.000 0.500
0.500 0.500 0.000
0.024 0.573 0.257
0.000 0.000 0.000
0.500 0.500 0.500
```

Computed properties:
calculated formation energy: -1.12 eV/atom
SG: No. 14
uncorrected energy: -85.136 eV for the cell shown


(3)
Below is CaMn2Pb after structural relaxation, with properties calculated at the PBE-GGA level.

Cell and atoms, written as POSCAR:
```
CaMn2Pb
1.0
-2.884 9.278 -2.533
-5.361 7.523 -3.934
-5.524 8.355 -0.700
Mn Pb Ca
2 1 1
Direct
0.504 0.504 0.504
0.996 0.996 0.996
0.250 0.250 0.250
0.750 0.750 0.750
```

Computed properties:
calculated formation energy: 0.62 eV/atom
SG: No. 166
ΔE to the lowest computed polymorph: 514.3 meV per atom
uncorrected energy: -21.555 eV for the cell shown


(4)
Below is LiAl2Pt after structural relaxation, with properties calculated at the PBE-GGA level.

Cell and atoms, written as POSCAR:
```
LiAl2Pt
1.0
-4.248 0.230 1.687
-2.786 -1.767 3.171
0.781 3.178 3.504
Li Al Pt
1 2 1
Direct
0.750 0.750 0.750
0.989 0.989 0.011
0.511 0.511 0.489
0.250 0.250 0.250
```

Computed properties:
calculated formation energy: -0.60 eV/atom
SG: No. 12
uncorrected energy: -17.847 eV for the cell shown


(5)
Below is LaTb3Tm6Sc2 after structural relaxation, with properties calculated at the PBE-GGA level.

Cell and atoms, written as POSCAR:
```
LaTb3Tm6Sc2
1.0
6.038 0.000 0.012
-3.017 5.230 0.012
-1.025 -1.776 11.406
Sc Tb La Tm
2 3 1 6
Direct
0.333 0.667 0.000
0.667 0.333 0.000
0.500 0.500 0.500
0.833 0.167 0.500
0.167 0.833 0.500
0.000 0.000 0.000
0.083 0.420 0.248
0.420 0.083 0.248
0.253 0.253 0.752
0.747 0.747 0.248
0.917 0.580 0.752
0.580 0.917 0.752
```

Computed properties:
calculated formation energy: 0.04 eV/atom
SG: No. 12
uncorrected energy: -57.812 eV for the cell shown


(6)
Below is Na3Cu2O4 after structural relaxation, with properties calculated at the PBE-GGA level.

Cell and atoms, written as POSCAR:
```
Na3Cu2O4
1.0
5.465 -0.174 -1.167
-1.447 6.503 -1.054
-0.014 -0.621 6.716
O Na Cu
8 6 4
Direct
0.659 0.705 0.753
0.839 0.567 0.089
0.339 0.089 0.567
0.159 0.753 0.705
0.661 0.911 0.433
0.841 0.247 0.295
0.341 0.295 0.247
0.161 0.433 0.911
0.006 0.959 0.268
0.994 0.041 0.732
0.494 0.732 0.041
0.250 0.416 0.584
0.506 0.268 0.959
0.750 0.584 0.416
0.455 0.855 0.619
0.045 0.381 0.145
0.545 0.145 0.381
0.955 0.619 0.855
```

Computed properties:
SG: No. 15
ΔE to the lowest computed polymorph: 69.1 meV per atom
energy relative to the elements, uncorrected: -9.0 eV/f.u.
uncorrected energy: -81.986 eV for the cell shown


(7)
Below is CeNd5Y6 after structural relaxation, with properties calculated at the PBE-GGA level.

Cell and atoms, written as POSCAR:
```
CeNd5Y6
1.0
-2.319 -5.174 2.705
3.517 -5.191 0.380
0.269 -5.066 14.864
Y Nd Ce
6 5 1
Direct
0.586 0.331 0.248
0.083 0.331 0.752
0.745 0.000 0.751
0.255 0.000 0.249
0.917 0.669 0.248
0.414 0.669 0.752
0.667 0.667 0.000
0.500 0.000 0.500
0.333 0.333 0.000
0.167 0.665 0.500
0.833 0.335 0.500
0.000 0.000 0.000
```

Computed properties:
calculated formation energy: 0.03 eV/atom
SG: No. 12
uncorrected energy: -68.176 eV for the cell shown


(8)
Below is LiCeMg6 after structural relaxation, with properties calculated at the PBE-GGA level.

Cell and atoms, written as POSCAR:
```
LiCeMg6
1.0
4.867 0.000 0.000
0.000 4.867 0.000
0.000 0.000 8.164
Mg Ce Li
6 1 1
Direct
0.500 0.500 0.000
0.000 0.500 0.273
0.000 0.500 0.727
0.500 0.000 0.273
0.500 0.500 0.500
0.500 0.000 0.727
0.000 0.000 0.000
0.000 0.000 0.500
```

Computed properties:
calculated formation energy: 0.02 eV/atom
SG: No. 123
ΔE to the lowest computed polymorph: 0.0 meV per atom
uncorrected energy: -17.231 eV for the cell shown


(9)
Below is P2C after structural relaxation, with properties calculated at the PBE-GGA level.

Cell and atoms, written as POSCAR:
```
P2C
1.0
6.384 0.000 0.000
0.000 6.384 0.000
0.000 0.000 2.697
C P
2 4
Direct
0.000 0.000 0.500
0.500 0.500 0.000
0.862 0.862 0.000
0.362 0.638 0.500
0.638 0.362 0.500
0.138 0.138 0.000
```

Computed properties:
calculated formation energy: 1.16 eV/atom
SG: No. 136
ΔE to the lowest computed polymorph: 728.2 meV per atom
uncorrected energy: -33.135 eV for the cell shown


(10)
Below is Ba2Li2Mg after structural relaxation, with properties calculated at the PBE-GGA level.

Cell and atoms, written as POSCAR:
```
Ba2Li2Mg
1.0
9.959 0.000 0.000
0.000 9.959 0.000
0.000 0.000 4.383
Ba Li Mg
4 4 2
Direct
0.332 0.832 0.000
0.668 0.168 0.000
0.168 0.332 0.000
0.832 0.668 0.000
0.620 0.880 0.500
0.880 0.380 0.500
0.120 0.620 0.500
0.380 0.120 0.500
0.000 0.000 0.000
0.500 0.500 0.000
```

Computed properties:
calculated formation energy: 0.24 eV/atom
SG: No. 127
ΔE to the lowest computed polymorph: 238.5 meV per atom
uncorrected energy: -16.179 eV for the cell shown


(11)
Below is ErAl2Rh after structural relaxation, with properties calculated at the PBE-GGA level.

Cell and atoms, written as POSCAR:
```
ErAl2Rh
1.0
-3.106 4.347 -1.418
-2.582 -3.665 -5.580
-11.157 -5.179 8.563
Al Er Rh
16 8 8
Direct
0.749 0.558 0.541
0.251 0.442 0.459
0.435 0.949 0.288
0.565 0.051 0.712
0.065 0.949 0.788
0.935 0.051 0.212
0.249 0.442 0.959
0.249 0.058 0.959
0.251 0.058 0.459
0.751 0.558 0.041
0.935 0.449 0.212
0.749 0.942 0.541
0.065 0.551 0.788
0.435 0.551 0.288
0.751 0.942 0.041
0.565 0.449 0.712
0.958 0.750 0.362
0.264 0.750 0.601
0.458 0.250 0.138
0.236 0.750 0.101
0.764 0.250 0.899
0.542 0.750 0.862
0.736 0.250 0.399
0.042 0.250 0.638
0.702 0.750 0.188
0.202 0.250 0.312
0.487 0.750 0.428
0.013 0.750 0.928
0.798 0.750 0.688
0.987 0.250 0.072
0.513 0.250 0.572
0.298 0.250 0.812
```

Computed properties:
calculated formation energy: -0.84 eV/atom
SG: No. 62
uncorrected energy: -181.918 eV for the cell shown


(12)
Below is Pm2SmCo3 after structural relaxation, with properties calculated at the PBE-GGA level.

Cell and atoms, written as POSCAR:
```
Pm2SmCo3
1.0
-4.241 -1.774 -0.323
3.076 -6.784 -3.132
-0.905 0.709 7.999
Pm Sm Co
4 2 6
Direct
0.750 0.499 0.333
0.250 0.501 0.667
0.250 0.833 0.333
0.750 0.167 0.667
0.750 0.834 0.000
0.250 0.166 0.000
0.000 0.834 0.668
0.500 0.500 0.000
0.500 0.166 0.332
0.000 0.166 0.332
0.500 0.834 0.668
0.000 0.500 0.000
```

Computed properties:
calculated formation energy: -0.09 eV/atom
SG: No. 63
uncorrected energy: -72.146 eV for the cell shown


(13)
Below is Dy4YSe5 after structural relaxation, with properties calculated at the PBE-GGA level.

Cell and atoms, written as POSCAR:
```
Dy4YSe5
1.0
-2.853 -2.557 -4.328
4.145 -2.340 -5.209
-0.874 -6.954 0.824
Se Dy Y
5 4 1
Direct
0.101 0.599 0.201
0.501 0.000 0.000
0.700 0.201 0.401
0.302 0.799 0.599
0.901 0.401 0.799
0.801 0.801 0.600
0.401 0.400 0.801
0.201 0.199 0.400
0.602 0.600 0.199
0.001 0.000 0.000
```

Computed properties:
SG: No. 87
energy relative to the elements, uncorrected: -17.5 eV/f.u.
uncorrected energy: -59.802 eV for the cell shown


(14)
Below is La5Pm7 after structural relaxation, with properties calculated at the PBE-GGA level.

Cell and atoms, written as POSCAR:
```
La5Pm7
1.0
3.666 0.000 0.578
1.469 9.364 2.599
-0.088 0.229 12.470
Pm La
7 5
Direct
0.639 0.971 0.751
0.973 0.303 0.750
0.334 0.335 0.998
0.027 0.697 0.250
0.666 0.665 0.002
0.500 0.500 0.500
0.361 0.029 0.249
0.834 0.834 0.498
0.306 0.637 0.750
0.694 0.363 0.250
0.166 0.166 0.502
0.000 0.000 0.000
```

Computed properties:
calculated formation energy: 0.01 eV/atom
SG: No. 12
ΔE to the lowest computed polymorph: 0.0 meV per atom
uncorrected energy: -57.810 eV for the cell shown


(15)
Below is AsIrCl2 after structural relaxation, with properties calculated at the PBE-GGA level.

Cell and atoms, written as POSCAR:
```
AsIrCl2
1.0
9.943 0.000 0.000
0.000 9.943 0.000
4.971 4.971 2.314
Cl As Ir
4 2 2
Direct
0.884 0.625 0.250
0.875 0.116 0.750
0.866 0.125 0.250
0.375 0.134 0.750
0.250 0.750 0.500
0.500 0.500 0.000
0.000 0.000 0.000
0.750 0.250 0.500
```

Computed properties:
SG: No. 122
ΔE to the lowest computed polymorph: 674.8 meV per atom
energy relative to the elements, uncorrected: 0.8 eV/f.u.
uncorrected energy: -32.771 eV for the cell shown


(16)
Below is Cs2TmSiSe4 after structural relaxation, with properties calculated at the PBE-GGA level.

Cell and atoms, written as POSCAR:
```
Cs2TmSiSe4
1.0
6.756 0.000 0.000
3.378 7.424 0.000
3.378 0.000 13.234
Se Tm Cs Si
8 2 4 2
Direct
0.513 0.316 0.599
0.323 0.816 0.099
0.427 0.684 0.401
0.888 0.684 0.599
0.172 0.316 0.401
0.237 0.184 0.901
0.578 0.184 0.099
0.862 0.816 0.901
0.000 0.000 0.000
0.750 0.500 0.500
0.930 0.500 0.141
0.570 0.500 0.859
0.180 0.000 0.641
0.820 0.000 0.359
0.250 0.500 0.500
0.500 0.000 0.000
```

Computed properties:
SG: No. 70
energy relative to the elements, uncorrected: -8.5 eV/f.u.
uncorrected energy: -68.120 eV for the cell shown


(17)
Below is Ba2LiAl12Pt3 after structural relaxation, with properties calculated at the PBE-GGA level.

Cell and atoms, written as POSCAR:
```
Ba2LiAl12Pt3
1.0
-6.318 -0.646 4.976
0.091 -7.400 3.214
2.709 0.594 7.577
Al Li Ba Pt
12 1 2 3
Direct
0.242 0.242 0.903
0.878 0.878 0.333
0.878 0.333 0.878
0.122 0.667 0.122
0.242 0.903 0.242
0.333 0.878 0.878
0.097 0.758 0.758
0.758 0.097 0.758
0.758 0.758 0.097
0.667 0.122 0.122
0.122 0.122 0.667
0.903 0.242 0.242
0.000 0.000 0.000
0.615 0.615 0.615
0.385 0.385 0.385
0.000 0.500 0.000
0.000 0.000 0.500
0.500 0.000 0.000
```

Computed properties:
calculated formation energy: -0.18 eV/atom
SG: No. 166
uncorrected energy: -72.019 eV for the cell shown


(18)
Below is AlCu2Au6 after structural relaxation, with properties calculated at the PBE-GGA level.

Cell and atoms, written as POSCAR:
```
AlCu2Au6
1.0
-0.621 -3.916 1.420
3.438 -1.794 2.801
-1.848 1.144 8.595
Au Cu Al
6 2 1
Direct
0.666 0.727 0.942
0.334 0.273 0.058
0.343 0.908 0.407
0.002 0.808 0.188
0.998 0.192 0.812
0.657 0.092 0.593
0.676 0.381 0.267
0.324 0.619 0.733
0.000 0.500 0.500
```

Computed properties:
calculated formation energy: -0.12 eV/atom
SG: No. 12
ΔE to the lowest computed polymorph: 21.8 meV per atom
uncorrected energy: -32.687 eV for the cell shown